Entry 1:
Compound: Na2MoH6
Source: the Alexandria database
Functional: PBE-GGA
Structure: optimized geometry

abc: 4.844 4.844 8.724
angles: 90.00 90.00 90.00
Element x y z (fractional)
1 Na 0.000 0.500 0.250
2 Na 0.000 0.500 0.750
3 Na 0.500 0.000 0.250
4 Na 0.500 0.000 0.750
5 Mo 0.000 0.000 0.000
6 Mo 0.500 0.500 0.500
7 H 0.000 0.000 0.211
8 H 0.000 0.000 0.789
9 H 0.178 0.298 0.500
10 H 0.202 0.322 0.000
11 H 0.298 0.822 0.500
12 H 0.322 0.798 0.000
13 H 0.500 0.500 0.289
14 H 0.500 0.500 0.711
15 H 0.678 0.202 0.000
16 H 0.702 0.178 0.500
17 H 0.798 0.678 0.000
18 H 0.822 0.702 0.500

The value obtained for the energy above the most stable polymorph in this dataset is 0 meV per atom.

Entry 2:
Compound: AlAgGe
Source: the Alexandria database
Functional: PBE-GGA
Structure: optimized geometry

abc: 2.964 4.981 7.759
angles: 71.38 79.00 89.93
Element x y z (fractional)
1 Al 0.000 0.000 0.000
2 Al 0.168 0.795 0.663
3 Ag 0.334 0.652 0.329
4 Ag 0.664 0.285 0.671
5 Ge 0.508 0.509 0.988
6 Ge 0.828 0.140 0.337

As for the energy relative to the elements: 142 meV/atom.

Entry 3:
Compound: ScReTeN2
Source: the Alexandria database
Functional: PBE-GGA
Structure: optimized geometry

abc: 4.066 4.066 6.066
angles: 90.00 90.00 90.00
Element x y z (fractional)
1 Sc 0.000 0.000 0.000
2 Re 0.500 0.500 0.500
3 Te 0.000 0.000 0.500
4 N 0.000 0.500 0.000
5 N 0.500 0.000 0.000

The value obtained for the energy above the most stable polymorph in this dataset is 1261 meV per atom. The formation energy (no corrections) is 1.40 eV/atom.

Entry 4:
Compound: SiMoN2
Source: the Alexandria database
Functional: PBE-GGA
Structure: optimized geometry

abc: 5.220 5.220 5.220
angles: 127.42 127.42 77.57
Element x y z (fractional)
1 Si 0.000 0.000 0.000
2 Si 0.750 0.250 0.500
3 Mo 0.250 0.750 0.500
4 Mo 0.500 0.500 0.000
5 N 0.055 0.625 0.930
6 N 0.375 0.305 0.430
7 N 0.695 0.125 0.070
8 N 0.875 0.945 0.570

The formation energy (no corrections) is -0.30 eV/atom.

Entry 5:
Compound: NpCdRuPt
Source: the Alexandria database
Functional: PBE-GGA
Structure: optimized geometry

abc: 4.730 4.730 4.730
angles: 60.00 60.00 60.00
Element x y z (fractional)
1 Np 0.000 0.000 0.000
2 Cd 0.500 0.500 0.500
3 Ru 0.750 0.750 0.750
4 Pt 0.250 0.250 0.250

As for the energy relative to the elements: -151 meV/atom.

Entry 6:
Compound: Sr4Ca3In
Source: the Alexandria database
Functional: PBE-GGA
Structure: optimized geometry

abc: 4.087 4.087 21.404
angles: 90.00 90.00 90.00
Element x y z (fractional)
1 Sr 0.000 0.000 0.093
2 Sr 0.000 0.000 0.366
3 Sr 0.000 0.000 0.634
4 Sr 0.000 0.000 0.907
5 Ca 0.500 0.500 0.232
6 Ca 0.500 0.500 0.500
7 Ca 0.500 0.500 0.768
8 In 0.500 0.500 0.000

As for the energy relative to the elements: -97 meV/atom.

Entry 7:
Compound: Mo2AsW
Source: the Alexandria database
Functional: PBE-GGA
Structure: optimized geometry

abc: 5.095 5.095 2.863
angles: 102.04 102.04 112.31
Element x y z (fractional)
1 Mo 0.000 0.500 0.000
2 Mo 0.500 0.000 0.000
3 As 0.000 0.000 0.500
4 W 0.500 0.500 0.500

As for the energy relative to the elements: 320 meV/atom.

Entry 8:
Compound: Rb2BaGeBr6
Source: the Alexandria database
Functional: PBE-GGA
Structure: optimized geometry

abc: 8.054 8.424 13.996
angles: 90.00 124.18 90.00
Element x y z (fractional)
1 Rb 0.222 0.070 0.247
2 Rb 0.222 0.430 0.747
3 Rb 0.778 0.570 0.253
4 Rb 0.778 0.930 0.753
5 Ba 0.500 0.000 0.000
6 Ba 0.500 0.500 0.500
7 Ge 0.000 0.000 0.500
8 Ge 0.000 0.500 0.000
9 Br 0.123 0.217 0.943
10 Br 0.123 0.283 0.443
11 Br 0.232 0.687 0.947
12 Br 0.232 0.813 0.447
13 Br 0.338 0.032 0.732
14 Br 0.338 0.468 0.232
15 Br 0.662 0.532 0.768
16 Br 0.662 0.968 0.268
17 Br 0.768 0.187 0.553
18 Br 0.768 0.313 0.053
19 Br 0.877 0.717 0.557
20 Br 0.877 0.783 0.057

The value obtained for the energy above the most stable polymorph in this dataset is 0 meV per atom. The formation energy (no corrections) is -1.52 eV/atom.